1.
VASP calculation (PBE-GGA) on a relaxed Ca2Sc2In crystal.

CIF file:
```
data_Ca2Sc2In
_cell_length_a 7.638
_cell_length_b 7.638
_cell_length_c 5.326
_cell_angle_alpha 90.00
_cell_angle_beta 90.00
_cell_angle_gamma 90.00
_symmetry_space_group_name_H-M 'P 4/m b m'
_symmetry_Int_Tables_number 127
_symmetry_space_group_name_Hall '-P 4 2ab'
loop_
_atom_site_label
_atom_site_type_symbol
_atom_site_fract_x
_atom_site_fract_y
_atom_site_fract_z
Ca1 Ca 0.168 0.332 0.000
Sc1 Sc 0.142 0.642 0.500
In1 In 0.000 0.000 0.500
```

Summary:
Electronic total energy = -3.81 eV per atom
Energy of formation = 72 meV per atom

2.
VASP calculation (PBE-GGA) on a relaxed Mg6ZnMo crystal.

CIF file:
```
data_Mg6ZnMo
_cell_length_a 4.834
_cell_length_b 6.002
_cell_length_c 10.733
_cell_angle_alpha 90.00
_cell_angle_beta 90.00
_cell_angle_gamma 90.00
_symmetry_space_group_name_H-M 'A m m 2'
_symmetry_Int_Tables_number 38
loop_
_symmetry_equiv_pos_as_xyz
'x,y,z'
'-x,-y,z'
'-x,y,z'
'x,-y,z'
'x,y+1/2,z+1/2'
'-x,-y+1/2,z+1/2'
'-x,y+1/2,z+1/2'
'x,-y+1/2,z+1/2'
loop_
_atom_site_label
_atom_site_type_symbol
_atom_site_fract_x
_atom_site_fract_y
_atom_site_fract_z
Mg1 Mg 0.000 0.000 0.000
Mg2 Mg 0.000 0.000 0.500
Mg3 Mg 0.000 0.240 0.262
Mg4 Mg 0.500 0.249 0.598
Zn1 Zn 0.500 0.000 0.844
Mo1 Mo 0.500 0.000 0.349
```

Summary:
Electronic total energy = -2.53 eV per atom
E above lowest polymorph = 41 meV/atom
Energy of formation = 182 meV per atom

3.
VASP calculation (PBE-GGA) on a relaxed HgSbP crystal.

CIF file:
```
data_HgSbP
_cell_length_a 6.776
_cell_length_b 6.776
_cell_length_c 6.776
_cell_angle_alpha 90.00
_cell_angle_beta 90.00
_cell_angle_gamma 90.00
_symmetry_space_group_name_H-M 'F -4 3 m'
_symmetry_Int_Tables_number 216
_symmetry_space_group_name_Hall 'F -4 2 3'
loop_
_atom_site_label
_atom_site_type_symbol
_atom_site_fract_x
_atom_site_fract_y
_atom_site_fract_z
Hg1 Hg 0.000 0.000 0.000
Sb1 Sb 0.000 0.000 0.500
P1 P 0.250 0.250 0.750
```

Summary:
Electronic total energy = -2.87 eV per atom
E above lowest polymorph = 304 meV/atom
Raw formation energy = 0.410 eV/atom

4.
VASP calculation (PBE-GGA) on a relaxed Mg2SbPd5 crystal.

CIF file:
```
data_Mg2SbPd5
_cell_length_a 5.609
_cell_length_b 10.995
_cell_length_c 4.249
_cell_angle_alpha 90.00
_cell_angle_beta 90.00
_cell_angle_gamma 90.00
_symmetry_space_group_name_H-M 'P b a m'
_symmetry_Int_Tables_number 55
loop_
_symmetry_equiv_pos_as_xyz
'x,y,z'
'-x,-y,-z'
'-x,-y,z'
'x,y,-z'
'x+1/2,-y+1/2,-z'
'-x+1/2,y+1/2,z'
'-x+1/2,y+1/2,-z'
'x+1/2,-y+1/2,z'
loop_
_atom_site_label
_atom_site_type_symbol
_atom_site_fract_x
_atom_site_fract_y
_atom_site_fract_z
Mg1 Mg 0.170 0.144 0.000
Sb1 Sb 0.000 0.500 0.500
Pd1 Pd 0.000 0.000 0.500
Pd2 Pd 0.076 0.744 0.500
Pd3 Pd 0.194 0.390 0.000
```

Summary:
Electronic total energy = -4.80 eV per atom
E above lowest polymorph = 0 meV/atom
Raw formation energy = -0.641 eV/atom

5.
VASP calculation (PBE-GGA) on a relaxed SrLiAg crystal.

CIF file:
```
data_SrLiAg
_cell_length_a 7.284
_cell_length_b 7.284
_cell_length_c 7.284
_cell_angle_alpha 90.00
_cell_angle_beta 90.00
_cell_angle_gamma 90.00
_symmetry_space_group_name_H-M 'F -4 3 m'
_symmetry_Int_Tables_number 216
_symmetry_space_group_name_Hall 'F -4 2 3'
loop_
_atom_site_label
_atom_site_type_symbol
_atom_site_fract_x
_atom_site_fract_y
_atom_site_fract_z
Sr1 Sr 0.000 0.000 0.000
Li1 Li 0.000 0.000 0.500
Ag1 Ag 0.250 0.250 0.250
```

Summary:
Electronic total energy = -2.22 eV per atom
E above lowest polymorph = 153 meV/atom
Energy of formation = -70 meV per atom

6.
VASP calculation (PBE-GGA) on a relaxed NdBC2 crystal.

CIF file:
```
data_NdBC2
_cell_length_a 7.403
_cell_length_b 3.727
_cell_length_c 4.170
_cell_angle_alpha 90.00
_cell_angle_beta 90.00
_cell_angle_gamma 90.00
_symmetry_space_group_name_H-M 'P m m a'
_symmetry_Int_Tables_number 51
loop_
_symmetry_equiv_pos_as_xyz
'x,y,z'
'-x,-y,-z'
'-x+1/2,-y,z'
'x+1/2,y,-z'
'x+1/2,-y,-z'
'-x+1/2,y,z'
'-x,y,-z'
'x,-y,z'
loop_
_atom_site_label
_atom_site_type_symbol
_atom_site_fract_x
_atom_site_fract_y
_atom_site_fract_z
Nd1 Nd 0.250 0.000 0.241
B1 B 0.250 0.500 0.740
C1 C 0.073 0.500 0.911
```

Summary:
Electronic total energy = -7.44 eV per atom
E above lowest polymorph = 0 meV/atom
Energy of formation = 31 meV per atom

7.
VASP calculation (PBE-GGA) on a relaxed Ca2PrPb2 crystal.

CIF file:
```
data_Ca2PrPb2
_cell_length_a 5.954
_cell_length_b 4.166
_cell_length_c 13.787
_cell_angle_alpha 90.00
_cell_angle_beta 98.13
_cell_angle_gamma 90.00
_symmetry_space_group_name_H-M 'P 1 21/m 1'
_symmetry_Int_Tables_number 11
loop_
_symmetry_equiv_pos_as_xyz
'x,y,z'
'-x,-y,-z'
'-x,y+1/2,-z'
'x,-y+1/2,z'
loop_
_atom_site_label
_atom_site_type_symbol
_atom_site_fract_x
_atom_site_fract_y
_atom_site_fract_z
Ca1 Ca 0.180 0.250 0.111
Ca2 Ca 0.261 0.750 0.531
Pr1 Pr 0.302 0.250 0.764
Pb1 Pb 0.196 0.250 0.340
Pb2 Pb 0.324 0.750 0.954
```

Summary:
Electronic total energy = -3.56 eV per atom
Energy of formation = -322 meV per atom

8.
VASP calculation (PBE-GGA) on a relaxed ScCu3Si crystal.

CIF file:
```
data_ScCu3Si
_cell_length_a 4.734
_cell_length_b 4.734
_cell_length_c 4.734
_cell_angle_alpha 90.00
_cell_angle_beta 90.00
_cell_angle_gamma 90.00
_symmetry_space_group_name_H-M 'P m -3 m'
_symmetry_Int_Tables_number 221
_symmetry_space_group_name_Hall '-P 4 2 3'
loop_
_atom_site_label
_atom_site_type_symbol
_atom_site_fract_x
_atom_site_fract_y
_atom_site_fract_z
Sc1 Sc 0.000 0.000 0.000
Cu1 Cu 0.000 0.000 0.500
Si1 Si 0.500 0.500 0.500
```

Summary:
Electronic total energy = -3.49 eV per atom
E above lowest polymorph = 1206 meV/atom
Raw formation energy = 1.315 eV/atom

9.
VASP calculation (PBE-GGA) on a relaxed NaSrCd2 crystal.

CIF file:
```
data_NaSrCd2
_cell_length_a 5.335
_cell_length_b 5.335
_cell_length_c 4.389
_cell_angle_alpha 90.00
_cell_angle_beta 90.00
_cell_angle_gamma 90.00
_symmetry_space_group_name_H-M 'P 4/m m m'
_symmetry_Int_Tables_number 123
_symmetry_space_group_name_Hall '-P 4 2'
loop_
_atom_site_label
_atom_site_type_symbol
_atom_site_fract_x
_atom_site_fract_y
_atom_site_fract_z
Na1 Na 0.000 0.000 0.000
Sr1 Sr 0.500 0.500 0.000
Cd1 Cd 0.000 0.500 0.500
```

Summary:
Electronic total energy = -1.36 eV per atom
Energy of formation = -157 meV per atom

10.
VASP calculation (PBE-GGA) on a relaxed YIn2Ge crystal.

CIF file:
```
data_YIn2Ge
_cell_length_a 4.358
_cell_length_b 4.358
_cell_length_c 4.930
_cell_angle_alpha 90.00
_cell_angle_beta 90.00
_cell_angle_gamma 90.00
_symmetry_space_group_name_H-M 'P 4/m m m'
_symmetry_Int_Tables_number 123
_symmetry_space_group_name_Hall '-P 4 2'
loop_
_atom_site_label
_atom_site_type_symbol
_atom_site_fract_x
_atom_site_fract_y
_atom_site_fract_z
Y1 Y 0.000 0.000 0.000
In1 In 0.000 0.500 0.500
Ge1 Ge 0.500 0.500 0.000
```

Summary:
Electronic total energy = -4.55 eV per atom
Energy of formation = -412 meV per atom

11.
VASP calculation (PBE-GGA) on a relaxed MnRuAuCS crystal.

CIF file:
```
data_MnRuAuCS
_cell_length_a 4.590
_cell_length_b 2.919
_cell_length_c 5.512
_cell_angle_alpha 90.00
_cell_angle_beta 111.64
_cell_angle_gamma 90.00
_symmetry_space_group_name_H-M 'P 1 m 1'
_symmetry_Int_Tables_number 6
loop_
_symmetry_equiv_pos_as_xyz
'x,y,z'
'x,-y,z'
loop_
_atom_site_label
_atom_site_type_symbol
_atom_site_fract_x
_atom_site_fract_y
_atom_site_fract_z
Mn1 Mn 0.000 0.000 0.000
Ru1 Ru 0.655 0.500 0.609
Au1 Au 0.123 0.000 0.541
C1 C 0.705 0.500 0.990
S1 S 0.436 0.500 0.147
```

Summary:
Electronic total energy = -6.70 eV per atom
E above lowest polymorph = 179 meV/atom
Raw formation energy = 0.313 eV/atom

12.
VASP calculation (PBE-GGA) on a relaxed Tb12Ho3Al crystal.

CIF file:
```
data_Tb12Ho3Al
_cell_length_a 4.944
_cell_length_b 4.944
_cell_length_c 20.052
_cell_angle_alpha 90.00
_cell_angle_beta 90.00
_cell_angle_gamma 90.00
_symmetry_space_group_name_H-M 'P 4/m m m'
_symmetry_Int_Tables_number 123
_symmetry_space_group_name_Hall '-P 4 2'
loop_
_atom_site_label
_atom_site_type_symbol
_atom_site_fract_x
_atom_site_fract_y
_atom_site_fract_z
Tb1 Tb 0.000 0.000 0.000
Tb2 Tb 0.000 0.000 0.243
Tb3 Tb 0.000 0.000 0.500
Tb4 Tb 0.000 0.500 0.118
Tb5 Tb 0.000 0.500 0.372
Ho1 Ho 0.500 0.500 0.246
Ho2 Ho 0.500 0.500 0.500
Al1 Al 0.500 0.500 0.000
```

Summary:
Electronic total energy = -4.58 eV per atom
Energy of formation = -20 meV per atom

13.
VASP calculation (PBE-GGA) on a relaxed TeAu3 crystal.

CIF file:
```
data_TeAu3
_cell_length_a 6.1442
_cell_length_b 6.1442
_cell_length_c 5.0007
_cell_angle_alpha 90.00
_cell_angle_beta 90.00
_cell_angle_gamma 120.00
_symmetry_space_group_name_H-M 'P 63/m m c'
_symmetry_Int_Tables_number 194
_symmetry_space_group_name_Hall '-P 6c 2c'
loop_
_atom_site_label
_atom_site_type_symbol
_atom_site_fract_x
_atom_site_fract_y
_atom_site_fract_z
Te1 Te 0.3333 0.6667 0.2500
Au1 Au 0.1607 0.3214 0.7500
```

Summary:
Electronic total energy = -3.08 eV per atom
Raw formation energy = 0.164 eV/atom

14.
VASP calculation (PBE-GGA) on a relaxed Nd9Sm2Er crystal.

CIF file:
```
data_Nd9Sm2Er
_cell_length_a 5.171
_cell_length_b 5.171
_cell_length_c 15.507
_cell_angle_alpha 90.00
_cell_angle_beta 90.00
_cell_angle_gamma 90.00
_symmetry_space_group_name_H-M 'P 4/m m m'
_symmetry_Int_Tables_number 123
_symmetry_space_group_name_Hall '-P 4 2'
loop_
_atom_site_label
_atom_site_type_symbol
_atom_site_fract_x
_atom_site_fract_y
_atom_site_fract_z
Nd1 Nd 0.000 0.000 0.000
Nd2 Nd 0.000 0.000 0.332
Nd3 Nd 0.000 0.500 0.165
Nd4 Nd 0.000 0.500 0.500
Sm1 Sm 0.500 0.500 0.332
Er1 Er 0.500 0.500 0.000
```

Summary:
Electronic total energy = -4.73 eV per atom
Energy of formation = 15 meV per atom

15.
VASP calculation (PBE-GGA) on a relaxed MnTl3Cr3Se8 crystal.

CIF file:
```
data_MnTl3Cr3Se8
_cell_length_a 7.4989
_cell_length_b 7.4989
_cell_length_c 22.8860
_cell_angle_alpha 90.00
_cell_angle_beta 90.00
_cell_angle_gamma 120.00
_symmetry_space_group_name_H-M 'R -3 m'
_symmetry_Int_Tables_number 166
_symmetry_space_group_name_Hall '-R 3 2"'
loop_
_atom_site_label
_atom_site_type_symbol
_atom_site_fract_x
_atom_site_fract_y
_atom_site_fract_z
Mn1 Mn 0.0000 0.0000 0.0000
Tl1 Tl 0.0000 0.5000 0.5000
Cr1 Cr 0.0000 0.5000 0.0000
Se1 Se 0.0000 0.0000 0.2743
Se2 Se 0.0011 0.5005 0.7257
```

Summary:
Electronic total energy = -5.35 eV per atom
Raw formation energy = -0.486 eV/atom

16.
VASP calculation (PBE-GGA) on a relaxed Sr2Ca3Sb3 crystal.

CIF file:
```
data_Sr2Ca3Sb3
_cell_length_a 9.2477
_cell_length_b 9.2477
_cell_length_c 7.3713
_cell_angle_alpha 90.00
_cell_angle_beta 90.00
_cell_angle_gamma 120.00
_symmetry_space_group_name_H-M 'P 63/m c m'
_symmetry_Int_Tables_number 193
_symmetry_space_group_name_Hall '-P 6c 2'
loop_
_atom_site_label
_atom_site_type_symbol
_atom_site_fract_x
_atom_site_fract_y
_atom_site_fract_z
Sr1 Sr 0.3333 0.6667 0.0000
Ca1 Ca 0.0000 0.2512 0.2500
Sb1 Sb 0.0000 0.3851 0.7500
```

Summary:
Electronic total energy = -3.69 eV per atom
Raw formation energy = -0.975 eV/atom

17.
VASP calculation (PBE-GGA) on a relaxed SmZrP2Rh5 crystal.

CIF file:
```
data_SmZrP2Rh5
_cell_length_a 4.040
_cell_length_b 4.040
_cell_length_c 10.377
_cell_angle_alpha 90.00
_cell_angle_beta 90.00
_cell_angle_gamma 90.00
_symmetry_space_group_name_H-M 'P 4/m m m'
_symmetry_Int_Tables_number 123
_symmetry_space_group_name_Hall '-P 4 2'
loop_
_atom_site_label
_atom_site_type_symbol
_atom_site_fract_x
_atom_site_fract_y
_atom_site_fract_z
Sm1 Sm 0.000 0.000 0.000
Zr1 Zr 0.000 0.000 0.500
P1 P 0.500 0.500 0.218
Rh1 Rh 0.000 0.500 0.318
Rh2 Rh 0.500 0.500 0.000
```

Summary:
Electronic total energy = -7.53 eV per atom
Energy of formation = -767 meV per atom

18.
VASP calculation (PBE-GGA) on a relaxed NaSrCr2Te crystal.

CIF file:
```
data_NaSrCr2Te
_cell_length_a 5.229
_cell_length_b 5.229
_cell_length_c 5.754
_cell_angle_alpha 90.00
_cell_angle_beta 90.00
_cell_angle_gamma 90.00
_symmetry_space_group_name_H-M 'P 4/m m m'
_symmetry_Int_Tables_number 123
_symmetry_space_group_name_Hall '-P 4 2'
loop_
_atom_site_label
_atom_site_type_symbol
_atom_site_fract_x
_atom_site_fract_y
_atom_site_fract_z
Na1 Na 0.000 0.000 0.000
Sr1 Sr 0.500 0.500 0.500
Cr1 Cr 0.000 0.500 0.000
Te1 Te 0.000 0.000 0.500
```

Summary:
Electronic total energy = -4.36 eV per atom
Raw formation energy = 0.722 eV/atom

19.
VASP calculation (PBE-GGA) on a relaxed Pr2PuRu2 crystal.

CIF file:
```
data_Pr2PuRu2
_cell_length_a 10.208
_cell_length_b 6.063
_cell_length_c 7.940
_cell_angle_alpha 90.00
_cell_angle_beta 100.47
_cell_angle_gamma 90.00
_symmetry_space_group_name_H-M 'C 1 2/c 1'
_symmetry_Int_Tables_number 15
loop_
_symmetry_equiv_pos_as_xyz
'x,y,z'
'-x,-y,-z'
'-x,y,-z+1/2'
'x,-y,z+1/2'
'x+1/2,y+1/2,z'
'-x+1/2,-y+1/2,-z'
'-x+1/2,y+1/2,-z+1/2'
'x+1/2,-y+1/2,z+1/2'
loop_
_atom_site_label
_atom_site_type_symbol
_atom_site_fract_x
_atom_site_fract_y
_atom_site_fract_z
Pr1 Pr 0.151 0.123 0.151
Pu1 Pu 0.000 0.384 0.750
Ru1 Ru 0.130 0.367 0.510
```

Summary:
Electronic total energy = -8.73 eV per atom
Energy of formation = -245 meV per atom

20.
VASP calculation (PBE-GGA) on a relaxed BeTc2Ir crystal.

CIF file:
```
data_BeTc2Ir
_cell_length_a 3.576
_cell_length_b 3.576
_cell_length_c 18.014
_cell_angle_alpha 90.00
_cell_angle_beta 90.00
_cell_angle_gamma 90.00
_symmetry_space_group_name_H-M 'I -4 2 d'
_symmetry_Int_Tables_number 122
_symmetry_space_group_name_Hall 'I -4 2bw'
loop_
_atom_site_label
_atom_site_type_symbol
_atom_site_fract_x
_atom_site_fract_y
_atom_site_fract_z
Be1 Be 0.000 0.000 0.000
Tc1 Tc 0.214 0.250 0.125
Ir1 Ir 0.000 0.000 0.500
```

Summary:
Electronic total energy = -7.96 eV per atom
Energy of formation = 366 meV per atom